1.
This record from the Alexandria database describes crystalline ZrPaN at its relaxed geometry. The functional is PBE.

Results
- formation energy without anion corrections (meV per atom) = -644
- excess energy over the best structure of this formula in the dataset (eV per atom) = 0.273
- total magnetization (μB/atom) = 0.00

Geometry as POSCAR:
```
ZrPaN
1.0
6.1590 -1.5591 0.0000
6.1590 1.5591 0.0000
-3.4297 0.0000 5.7629
Zr Pa N
2 2 2
Direct
0.1441 0.1441 0.0221
0.8559 0.8559 0.9779
0.1311 0.1311 0.5083
0.8689 0.8689 0.4917
0.3687 0.3687 0.2327
0.6313 0.6313 0.7673
```

2.
This record from the Alexandria database describes crystalline Tb2SmDyMg at its relaxed geometry. The functional is PBE.

Results
- total magnetization (μB/atom) = 0.00
- formation energy (eV/atom) = 0.02

Geometry as POSCAR:
```
Tb2SmDyMg
1.0
6.1286 0.0000 0.0000
0.0000 5.6019 0.0000
-3.0377 0.0000 8.9318
Tb Sm Dy Mg
4 2 2 2
Direct
0.0506 0.2500 0.2974
0.1241 0.7500 0.1050
0.8759 0.2500 0.8950
0.9494 0.7500 0.7026
0.4645 0.2500 0.1093
0.5355 0.7500 0.8907
0.3332 0.7500 0.5023
0.6668 0.2500 0.4977
0.2728 0.2500 0.6949
0.7272 0.7500 0.3051
```

3.
This record from the Alexandria database describes crystalline Th4Te2AuSe at its relaxed geometry. The functional is PBE.

Results
- formation energy without anion corrections (meV per atom) = -1072
- total magnetization (μB/atom) = 0.00

Geometry as POSCAR:
```
Th4Te2AuSe
1.0
7.4615 0.0000 0.0000
0.0000 4.3310 0.0000
-2.5347 0.0000 7.3805
Th Te Au Se
4 2 1 1
Direct
0.2380 0.0000 0.2250
0.2595 0.5000 0.7779
0.7405 0.5000 0.2221
0.7620 0.0000 0.7750
0.0000 0.0000 0.5000
0.5000 0.5000 0.5000
0.5000 0.0000 0.0000
0.0000 0.5000 0.0000
```

no.,uncorrected energy (eV per atom)
1,-9.434
2,-4.019
3,-6.412